The following is a DFT calculation (PBE-GGA) of Er4GeO3 after structural relaxation.

Cell: 6.1488 6.1488 6.1488 Å, 130.66 130.66 72.35°
Element x y z (fractional)
1 Er 0.2682 0.2682 0.0000
2 Er 0.7318 0.7318 0.0000
3 Er 0.5000 0.0000 0.5000
4 Er 0.0000 0.5000 0.5000
5 Ge 0.0000 0.0000 0.0000
6 O 0.5000 0.5000 0.0000
7 O 0.7500 0.2500 0.5000
8 O 0.2500 0.7500 0.5000

Computed properties:
**E_tot**: -0.503 Ry per atom
**ρ**: 10.0 g/cm3

The following is a DFT calculation (PBE-GGA) of Er2Ge2O7 after structural relaxation.

Cell: 6.7568 6.7568 12.3002 Å, 90.00 90.00 90.00°
Element x y z (fractional)
1 Er 0.6265 0.8544 0.1141
2 Er 0.8735 0.3544 0.1359
3 Er 0.6456 0.1265 0.3641
4 Er 0.1456 0.3735 0.3859
5 Er 0.3735 0.1456 0.6141
6 Er 0.1265 0.6456 0.6359
7 Er 0.3544 0.8735 0.8641
8 Er 0.8544 0.6265 0.8859
9 Ge 0.1017 0.8485 0.1186
10 Ge 0.3983 0.3485 0.1314
11 Ge 0.6515 0.6017 0.3686
12 Ge 0.1515 0.8983 0.3814
13 Ge 0.8983 0.1515 0.6186
14 Ge 0.6017 0.6515 0.6314
15 Ge 0.3485 0.3983 0.8686
16 Ge 0.8485 0.1017 0.8814
17 O 0.2995 0.2995 0.0000
18 O 0.3205 0.8555 0.0434
19 O 0.9347 0.6614 0.0707
20 O 0.9223 0.0345 0.1223
21 O 0.5777 0.5345 0.1277
22 O 0.5653 0.1614 0.1793
23 O 0.1795 0.3555 0.2066
24 O 0.2005 0.7995 0.2500
25 O 0.6445 0.8205 0.2934
26 O 0.8387 0.4347 0.3207
27 O 0.4655 0.4223 0.3723
28 O 0.9655 0.0777 0.3777
29 O 0.3387 0.0653 0.4293
30 O 0.1445 0.6795 0.4566
31 O 0.7005 0.7005 0.5000
32 O 0.6795 0.1445 0.5434
33 O 0.0653 0.3387 0.5707
34 O 0.0777 0.9655 0.6223
35 O 0.4223 0.4655 0.6277
36 O 0.4347 0.8387 0.6793
37 O 0.8205 0.6445 0.7066
38 O 0.7995 0.2005 0.7500
39 O 0.3555 0.1795 0.7934
40 O 0.1614 0.5653 0.8207
41 O 0.5345 0.5777 0.8723
42 O 0.0345 0.9223 0.8777
43 O 0.6614 0.9347 0.9293
44 O 0.8555 0.3205 0.9566

Computed properties:
**E_tot**: -0.548 Ry per atom
**ρ**: 7.0 g/cm3

The following is a DFT calculation (PBE-GGA) of ErGe2O4 after structural relaxation.

Cell: 6.5251 6.5251 6.5251 Å, 119.99 90.01 119.99°
Element x y z (fractional)
1 Er 0.0000 0.0000 0.0000
2 Er 0.7500 0.5000 0.2500
3 Ge 0.3750 0.7500 0.1250
4 Ge 0.3750 0.2500 0.6250
5 Ge 0.8750 0.2500 0.6250
6 Ge 0.3750 0.7500 0.6250
7 O 0.6164 0.2330 0.3834
8 O 0.1505 0.7670 0.3834
9 O 0.6166 0.7670 0.3836
10 O 0.1334 0.2670 0.4005
11 O 0.6166 0.2330 0.8495
12 O 0.1334 0.7330 0.8664
13 O 0.1336 0.2670 0.8666
14 O 0.5995 0.7330 0.8666

Computed properties:
**E_tot**: -0.475 Ry per atom
**ρ**: 6.4 g/cm3

The following is a DFT calculation (PBE-GGA) of Er2Ge2O7 after structural relaxation.

Cell: 12.1460 6.7573 6.7422 Å, 92.73 93.00 94.38°
Element x y z (fractional)
1 Er 0.1136 0.3312 0.0410
2 Er 0.3596 0.0810 0.1074
3 Er 0.1193 0.8303 0.3126
4 Er 0.6316 0.2269 0.3697
5 Er 0.3684 0.7731 0.6303
6 Er 0.8807 0.1697 0.6874
7 Er 0.6404 0.9190 0.8926
8 Er 0.8864 0.6688 0.9590
9 Ge 0.3785 0.6147 0.1428
10 Ge 0.8871 0.1466 0.1692
11 Ge 0.6061 0.7362 0.3955
12 Ge 0.8383 0.6678 0.4887
13 Ge 0.1617 0.3322 0.5113
14 Ge 0.3939 0.2638 0.6045
15 Ge 0.1129 0.8534 0.8308
16 Ge 0.6215 0.3853 0.8572
17 O 0.9172 0.3392 0.0008
18 O 0.1857 0.0233 0.0077
19 O 0.5800 0.2230 0.0422
20 O 0.3029 0.3921 0.0678
21 O 0.6227 0.9192 0.2257
22 O 0.0221 0.0956 0.2397
23 O 0.3101 0.7880 0.2920
24 O 0.9227 0.7216 0.2935
25 O 0.4930 0.5573 0.2988
26 O 0.1155 0.4915 0.3358
27 O 0.8144 0.2117 0.3717
28 O 0.7027 0.5478 0.3864
29 O 0.4523 0.1606 0.3945
30 O 0.2276 0.1307 0.4038
31 O 0.7724 0.8693 0.5962
32 O 0.5477 0.8394 0.6055
33 O 0.2973 0.4522 0.6136
34 O 0.1856 0.7883 0.6283
35 O 0.8845 0.5085 0.6642
36 O 0.5070 0.4427 0.7012
37 O 0.0773 0.2784 0.7065
38 O 0.6899 0.2120 0.7080
39 O 0.9779 0.9044 0.7603
40 O 0.3773 0.0808 0.7743
41 O 0.6971 0.6079 0.9322
42 O 0.4200 0.7770 0.9578
43 O 0.8143 0.9767 0.9923
44 O 0.0828 0.6608 0.9992

Computed properties:
**E_tot**: -0.545 Ry per atom
**ρ**: 7.1 g/cm3

Q: What is the formula in the second record?
A: Er2Ge2O7